# Pa2TcB10 PBE optimized geometry
data_Pa2TcB10
_chemical_formula_sum 'Pa4 Tc2 B20'
_symmetry_space_group_name_H-M 'P b a m'
_symmetry_Int_Tables_number 55
_cell_length_a 5.690
_cell_length_b 11.344
_cell_length_c 4.136
_cell_angle_alpha 90.00
_cell_angle_beta 90.00
_cell_angle_gamma 90.00
loop_
_symmetry_equiv_pos_as_xyz
'x,y,z'
'-x,-y,-z'
'-x,-y,z'
'x,y,-z'
'x+1/2,-y+1/2,-z'
'-x+1/2,y+1/2,z'
'-x+1/2,y+1/2,-z'
'x+1/2,-y+1/2,z'
loop_
_atom_site_label
_atom_site_type_symbol
_atom_site_fract_x
_atom_site_fract_y
_atom_site_fract_z
_atom_site_occupancy
Pa1 Pa 0.225 0.130 0.000 1
Tc1 Tc 0.000 0.500 0.500 1
B1 B 0.065 0.306 0.500 1
B2 B 0.116 0.958 0.500 1
B3 B 0.124 0.803 0.500 1
B4 B 0.228 0.380 0.197 1
# **Spin magnetization**: 0.000 Bohr magnetons per cell
# **Energy relative to the elements**: -0.483 eV per atom